Computed, not measured: a geometry-optimized Ce2MnAl structure at the PBE-GGA level of DFT.

Spin magnetization (μB per formula unit): 1.083
Excess energy over the best structure of this formula in the dataset (eV per atom): 0.116
Symmetry: P4/mmm
Formation energy from the elements (eV per atom): 0.008
E (eV/atom): -6.19

Lattice parameters (Å, degrees): 3.665 3.665 6.549 90.00 90.00 90.00
Positions (direct):
Al (0.500, 0.500, 0.500)
Ce (0.000, 0.000, 0.777)
Ce (0.000, 0.000, 0.223)
Mn (0.500, 0.500, 0.000)